Record 1
# La5Pr4Sc

A geometry-optimized La5Pr4Sc structure (GGA-PBE, Alexandria via LeMat-Bulk).

```
La5Pr4Sc
1.0
8.8630 -1.8192 0.0000
8.8630 1.8192 0.0000
-3.9349 0.0000 11.0029
La Pr Sc
5 4 1
Direct
0.0000 0.0000 0.0000
0.2967 0.2967 0.3940
0.3084 0.3084 0.9121
0.6916 0.6916 0.0879
0.7033 0.7033 0.6060
0.1047 0.1047 0.7941
0.4161 0.4161 0.7005
0.5839 0.5839 0.2995
0.8953 0.8953 0.2059
0.0000 0.0000 0.5000
```

Output
Energy relative to the lowest polymorph listed for this composition, meV/atom: 0
Space-group type: C2/m (12)
DFT formation energy, eV per atom: 0.056
Calculated total energy, eV per atom: -4.952
V, A^3/atom: 35.5


Record 2
# La8Pr5Sc

A geometry-optimized La8Pr5Sc structure (GGA-PBE, Alexandria via LeMat-Bulk).

```
La8Pr5Sc
1.0
-4.9943 4.9943 5.0922
4.9943 -4.9943 5.0922
4.9943 4.9943 -5.0922
La Pr Sc
8 5 1
Direct
0.0803 0.3491 0.6006
0.1741 0.4498 0.1169
0.3329 0.0572 0.8831
0.5203 0.9197 0.2688
0.5502 0.6671 0.7243
0.6509 0.2515 0.7312
0.7485 0.4797 0.3994
0.9428 0.8259 0.2757
0.0170 0.7140 0.8941
0.2860 0.1801 0.3030
0.5000 0.5000 0.0000
0.8199 0.1229 0.1059
0.8771 0.9830 0.6970
0.2500 0.7500 0.5000
```

Output
Space-group type: I-4 (82)
DFT formation energy, eV per atom: 0.222
Calculated total energy, eV per atom: -4.753
V, A^3/atom: 36.3


Record 3
# LaPrSc2

A geometry-optimized LaPrSc2 structure (GGA-PBE, Alexandria via LeMat-Bulk).

```
LaPrSc2
1.0
0.0000 3.9266 3.9266
3.9266 0.0000 3.9266
3.9266 3.9266 0.0000
La Pr Sc
1 1 2
Direct
0.0000 0.0000 0.0000
0.5000 0.5000 0.5000
0.2500 0.2500 0.2500
0.7500 0.7500 0.7500
```

Output
Energy relative to the lowest polymorph listed for this composition, meV/atom: 17
Space-group type: Fm-3m (225)
DFT formation energy, eV per atom: 0.071
Calculated total energy, eV per atom: -5.522
V, A^3/atom: 30.3


Record 4
# La2Pr8Sc

A geometry-optimized La2Pr8Sc structure (GGA-PBE, Alexandria via LeMat-Bulk).

```
La2Pr8Sc
1.0
9.3642 -2.6102 0.0000
9.3642 2.6102 0.0000
-2.1513 0.0000 7.9207
La Pr Sc
2 8 1
Direct
0.2267 0.2267 0.1360
0.7733 0.7733 0.8640
0.0442 0.0442 0.2317
0.1337 0.1337 0.6749
0.3212 0.3212 0.5918
0.4112 0.4112 0.0547
0.5888 0.5888 0.9453
0.6788 0.6788 0.4082
0.8663 0.8663 0.3251
0.9558 0.9558 0.7683
0.5000 0.5000 0.5000
```

Output
Energy relative to the lowest polymorph listed for this composition, meV/atom: 0
Space-group type: C2/m (12)
DFT formation energy, eV per atom: 0.028
Calculated total energy, eV per atom: -4.920
V, A^3/atom: 35.2


Record 5
# La14PrSc

A geometry-optimized La14PrSc structure (GGA-PBE, Alexandria via LeMat-Bulk).

```
La14PrSc
1.0
10.4675 0.0000 0.0000
0.0000 5.2163 5.2067
0.0000 -5.2163 5.2067
La Pr Sc
14 1 1
Direct
0.0000 0.0000 0.0000
0.0000 0.9998 0.4995
0.0000 0.4995 0.9998
0.0000 0.4993 0.4993
0.2543 0.2556 0.7438
0.2543 0.7438 0.2556
0.2538 0.7438 0.7438
0.2549 0.2554 0.2554
0.5000 0.9995 0.4998
0.5000 0.4998 0.9995
0.7451 0.2554 0.2554
0.7457 0.2556 0.7438
0.7457 0.7438 0.2556
0.7462 0.7438 0.7438
0.5000 0.9993 0.9993
0.5000 0.5001 0.5001
```

Output
Space-group type: Amm2 (38)
DFT formation energy, eV per atom: 0.014
Calculated total energy, eV per atom: -4.992
V, A^3/atom: 35.5


Record 6
# La7Pr3Sc

A geometry-optimized La7Pr3Sc structure (GGA-PBE, Alexandria via LeMat-Bulk).

```
La7Pr3Sc
1.0
7.2716 0.0000 0.0000
-3.6358 6.2974 0.0000
0.0000 0.0000 8.8590
La Pr Sc
7 3 1
Direct
0.0000 0.0000 0.0000
0.1674 0.3348 0.3300
0.1674 0.8326 0.3300
0.5006 0.0011 0.9931
0.5006 0.4994 0.9931
0.6652 0.8326 0.3300
0.9989 0.4994 0.9931
0.3349 0.1675 0.6570
0.8325 0.1675 0.6570
0.8325 0.6651 0.6570
0.6667 0.3333 0.3212
```

Output
Space-group type: P3m1 (156)
DFT formation energy, eV per atom: 0.162
Calculated total energy, eV per atom: -4.852
V, A^3/atom: 36.9


Record 7
# LaPr2Sc

A geometry-optimized LaPr2Sc structure (GGA-PBE, Alexandria via LeMat-Bulk).

```
LaPr2Sc
1.0
1.8092 1.0445 11.6896
-1.8092 1.0445 11.6896
0.0000 -2.0891 11.6896
La Pr Sc
1 2 1
Direct
0.0000 0.0000 0.0000
0.2447 0.2447 0.2447
0.7553 0.7553 0.7553
0.5000 0.5000 0.5000
```

Output
Energy relative to the lowest polymorph listed for this composition, meV/atom: 20
Space-group type: R-3m (166)
DFT formation energy, eV per atom: 0.058
Calculated total energy, eV per atom: -5.147
V, A^3/atom: 33.1


Record 8
# La5Pr12Sc2

A geometry-optimized La5Pr12Sc2 structure (GGA-PBE, Alexandria via LeMat-Bulk).

```
La5Pr12Sc2
1.0
11.3935 -3.5986 0.0000
11.3935 3.5986 0.0000
-3.3129 0.0000 8.2597
La Pr Sc
5 12 2
Direct
0.0000 0.0000 0.0000
0.2455 0.2455 0.9828
0.3528 0.3528 0.4073
0.6472 0.6472 0.5927
0.7545 0.7545 0.0172
0.0489 0.5441 0.7083
0.1288 0.1288 0.5234
0.1527 0.6396 0.1274
0.3604 0.8473 0.8726
0.4515 0.4515 0.8007
0.4559 0.9511 0.2918
0.5441 0.0489 0.7083
0.5485 0.5485 0.1993
0.6396 0.1527 0.1274
0.8473 0.3604 0.8726
0.8712 0.8712 0.4766
0.9511 0.4559 0.2918
0.2695 0.7305 0.5000
0.7305 0.2695 0.5000
```

Output
Energy relative to the lowest polymorph listed for this composition, meV/atom: 0
Space-group type: C2/m (12)
DFT formation energy, eV per atom: 0.135
Calculated total energy, eV per atom: -4.846
V, A^3/atom: 35.6


Record 9
# La8Pr6Sc

A geometry-optimized La8Pr6Sc structure (GGA-PBE, Alexandria via LeMat-Bulk).

```
La8Pr6Sc
1.0
4.6775 2.7006 7.1071
-4.6775 2.7006 7.1071
0.0000 -5.4012 7.1071
La Pr Sc
8 6 1
Direct
0.0775 0.0775 0.0775
0.2095 0.2596 0.6136
0.2596 0.6136 0.2095
0.3864 0.7905 0.7404
0.6136 0.2095 0.2596
0.7404 0.3864 0.7905
0.7905 0.7404 0.3864
0.9225 0.9225 0.9225
0.0439 0.7437 0.5939
0.2563 0.4061 0.9561
0.4061 0.9561 0.2563
0.5939 0.0439 0.7437
0.7437 0.5939 0.0439
0.9561 0.2563 0.4061
0.5000 0.5000 0.5000
```

Output
Energy relative to the lowest polymorph listed for this composition, meV/atom: 0
Space-group type: R-3 (148)
DFT formation energy, eV per atom: 0.098
Calculated total energy, eV per atom: -4.863
V, A^3/atom: 35.9


Record 10
# LaPr5Sc2

A geometry-optimized LaPr5Sc2 structure (GGA-PBE, Alexandria via LeMat-Bulk).

```
LaPr5Sc2
1.0
-1.7952 5.5999 6.6648
1.7952 -5.5999 6.6648
1.7952 5.5999 -6.6648
La Pr Sc
1 5 2
Direct
0.0000 0.0000 0.0000
0.1369 0.3655 0.7714
0.4059 0.6345 0.7714
0.5000 0.0000 0.5000
0.5941 0.3655 0.2286
0.8631 0.6345 0.2286
0.2430 0.7430 0.5000
0.7570 0.2570 0.5000
```

Output
Space-group type: Immm (71)
DFT formation energy, eV per atom: 0.056
Calculated total energy, eV per atom: -5.130
V, A^3/atom: 33.5


Record 11
# La8Pr4Sc

A geometry-optimized La8Pr4Sc structure (GGA-PBE, Alexandria via LeMat-Bulk).

```
La8Pr4Sc
1.0
5.9639 3.4433 3.9347
-5.9639 3.4433 3.9347
0.0000 -6.8865 3.9347
La Pr Sc
8 4 1
Direct
0.1706 0.1706 0.6704
0.1706 0.6704 0.1706
0.2437 0.2437 0.2437
0.3296 0.8294 0.8294
0.6704 0.1706 0.1706
0.7563 0.7563 0.7563
0.8294 0.3296 0.8294
0.8294 0.8294 0.3296
0.0000 0.0000 0.0000
0.0000 0.5000 0.5000
0.5000 0.0000 0.5000
0.5000 0.5000 0.0000
0.5000 0.5000 0.5000
```

Output
Space-group type: R-3m (166)
DFT formation energy, eV per atom: 0.355
Calculated total energy, eV per atom: -4.634
V, A^3/atom: 37.3


Record 12
# La3Pr3Sc

A geometry-optimized La3Pr3Sc structure (GGA-PBE, Alexandria via LeMat-Bulk).

```
La3Pr3Sc
1.0
9.8011 0.0000 0.0000
-4.9006 8.4880 0.0000
0.0000 0.0000 5.8966
La Pr Sc
6 6 2
Direct
0.0530 0.2458 0.2500
0.1927 0.9470 0.2500
0.2458 0.1927 0.7500
0.7542 0.8073 0.2500
0.8073 0.0530 0.7500
0.9470 0.7542 0.7500
0.0975 0.4833 0.7500
0.3857 0.9025 0.7500
0.4833 0.3857 0.2500
0.5167 0.6143 0.7500
0.6143 0.0975 0.2500
0.9025 0.5167 0.2500
0.3333 0.6667 0.2500
0.6667 0.3333 0.7500
```

Output
Energy relative to the lowest polymorph listed for this composition, meV/atom: 0
Space-group type: P6_3/m (176)
DFT formation energy, eV per atom: 0.050
Calculated total energy, eV per atom: -5.014
V, A^3/atom: 35.0


Record 13
# La3Pr4Sc

A geometry-optimized La3Pr4Sc structure (GGA-PBE, Alexandria via LeMat-Bulk).

```
La3Pr4Sc
1.0
12.2887 -1.8485 0.0000
12.2887 1.8485 0.0000
-1.6300 0.0000 6.1395
La Pr Sc
3 4 1
Direct
0.0000 0.0000 0.0000
0.2506 0.2506 0.2512
0.7494 0.7494 0.7488
0.1208 0.1208 0.4590
0.3761 0.3761 0.0418
0.6239 0.6239 0.9582
0.8792 0.8792 0.5410
0.5000 0.5000 0.5000
```

Output
Energy relative to the lowest polymorph listed for this composition, meV/atom: 0
Space-group type: C2/m (12)
DFT formation energy, eV per atom: 0.029
Calculated total energy, eV per atom: -5.000
V, A^3/atom: 34.9


Record 14
# La3Pr2Sc2

A geometry-optimized La3Pr2Sc2 structure (GGA-PBE, Alexandria via LeMat-Bulk).

```
La3Pr2Sc2
1.0
3.6526 0.0000 0.0000
-1.8231 7.6000 0.0000
-0.0016 -2.9135 8.2813
La Pr Sc
3 2 2
Direct
0.0000 0.0000 0.0000
0.1358 0.2690 0.4338
0.8642 0.7310 0.5662
0.2792 0.5595 0.8476
0.7208 0.4405 0.1524
0.4280 0.8559 0.2787
0.5720 0.1441 0.7213
```

Output
Space-group type: P-1 (2)
DFT formation energy, eV per atom: 0.051
Calculated total energy, eV per atom: -5.236
V, A^3/atom: 32.8


Record 15
# LaPr2Sc

A geometry-optimized LaPr2Sc structure (GGA-PBE, Alexandria via LeMat-Bulk).

```
LaPr2Sc
1.0
5.0840 0.0000 0.0000
0.0000 5.0840 0.0000
0.0000 0.0000 5.1040
La Pr Sc
1 2 1
Direct
0.0000 0.0000 0.0000
0.0000 0.5000 0.5000
0.5000 0.0000 0.5000
0.5000 0.5000 0.0000
```

Output
Energy relative to the lowest polymorph listed for this composition, meV/atom: 0
Space-group type: P4/mmm (123)
DFT formation energy, eV per atom: 0.038
Calculated total energy, eV per atom: -5.166
V, A^3/atom: 33.0


Record 16
# La5Pr6Sc

A geometry-optimized La5Pr6Sc structure (GGA-PBE, Alexandria via LeMat-Bulk).

```
La5Pr6Sc
1.0
5.8283 -7.8032 0.0000
5.8283 7.8032 0.0000
-2.3392 0.0000 4.6796
La Pr Sc
5 6 1
Direct
0.0000 0.0000 0.0000
0.1665 0.8335 0.5000
0.3368 0.6632 0.0000
0.6632 0.3368 0.0000
0.8335 0.1665 0.5000
0.0905 0.4188 0.2547
0.2560 0.2560 0.7564
0.4188 0.0905 0.2547
0.5812 0.9095 0.7453
0.7440 0.7440 0.2436
0.9095 0.5812 0.7453
0.5000 0.5000 0.5000
```

Output
Space-group type: C2/m (12)
DFT formation energy, eV per atom: 0.030
Calculated total energy, eV per atom: -4.941
V, A^3/atom: 35.5


Record 17
# LaPr2Sc

A geometry-optimized LaPr2Sc structure (GGA-PBE, Alexandria via LeMat-Bulk).

```
LaPr2Sc
1.0
0.0000 4.0574 4.0574
4.0574 0.0000 4.0574
4.0574 4.0574 0.0000
La Pr Sc
1 2 1
Direct
0.0000 0.0000 0.0000
0.2500 0.2500 0.2500
0.7500 0.7500 0.7500
0.5000 0.5000 0.5000
```

Output
Energy relative to the lowest polymorph listed for this composition, meV/atom: 116
Space-group type: Fm-3m (225)
DFT formation energy, eV per atom: 0.154
Calculated total energy, eV per atom: -5.050
V, A^3/atom: 33.4


Record 18
# LaPrSc2

A geometry-optimized LaPrSc2 structure (GGA-PBE, Alexandria via LeMat-Bulk).

```
LaPrSc2
1.0
5.2259 0.0000 0.0000
0.0000 5.2259 0.0000
0.0000 0.0000 4.4121
La Pr Sc
1 1 2
Direct
0.0000 0.0000 0.0000
0.5000 0.5000 0.0000
0.0000 0.5000 0.5000
0.5000 0.0000 0.5000
```

Output
Energy relative to the lowest polymorph listed for this composition, meV/atom: 0
Space-group type: P4/mmm (123)
DFT formation energy, eV per atom: 0.054
Calculated total energy, eV per atom: -5.538
V, A^3/atom: 30.1


Record 19
# La2Pr7Sc

A geometry-optimized La2Pr7Sc structure (GGA-PBE, Alexandria via LeMat-Bulk).

```
La2Pr7Sc
1.0
3.4236 -14.7311 0.0000
3.4236 14.7311 0.0000
0.0000 0.0000 3.5045
La Pr Sc
2 7 1
Direct
0.2025 0.7975 0.0000
0.7975 0.2025 0.0000
0.0000 0.0000 0.0000
0.1663 0.3584 0.0000
0.3106 0.6894 0.5000
0.3584 0.1663 0.0000
0.6416 0.8337 0.0000
0.6894 0.3106 0.5000
0.8337 0.6416 0.0000
0.5000 0.5000 0.5000
```

Output
Space-group type: Cmmm (65)
DFT formation energy, eV per atom: 0.159
Calculated total energy, eV per atom: -4.805
V, A^3/atom: 35.3


Record 20
# LaPr2Sc

A geometry-optimized LaPr2Sc structure (GGA-PBE, Alexandria via LeMat-Bulk).

```
LaPr2Sc
1.0
1.8049 1.0421 11.7760
-1.8049 1.0421 11.7760
0.0000 -2.0841 11.7760
La Pr Sc
1 2 1
Direct
0.0000 0.0000 0.0000
0.5787 0.5787 0.5787
0.7565 0.7565 0.7565
0.1674 0.1674 0.1674
```

Output
Energy relative to the lowest polymorph listed for this composition, meV/atom: 27
Space-group type: R3m (160)
DFT formation energy, eV per atom: 0.065
Calculated total energy, eV per atom: -5.140
V, A^3/atom: 33.2